## P
PmBeAsO: relaxed, PBE.

```
PmBeAsO
1.0
3.130 0.000 0.000
0.000 5.444 0.000
0.000 0.000 7.166
As Be O Pm
2 2 2 2
Direct
0.000 0.345 0.272
0.000 0.655 0.772
0.000 0.696 0.457
0.000 0.304 0.957
0.500 0.812 0.422
0.500 0.188 0.922
0.500 0.836 0.104
0.500 0.164 0.604
```

=====

## Q
PmBeAsO: relaxed, PBE.

```
PmBeAsO
1.0
3.835 0.000 0.000
0.000 3.835 0.000
0.000 0.000 9.885
As Be O Pm
2 2 2 2
Direct
0.750 0.750 0.272
0.250 0.250 0.728
0.750 0.750 0.011
0.250 0.250 0.989
0.750 0.250 0.000
0.250 0.750 0.000
0.750 0.250 0.500
0.250 0.750 0.500
```

=====

Which structure wins on stability? P wins.

=====

## P
PmBeAsO: relaxed, PBE.

```
PmBeAsO
1.0
4.242 0.000 0.000
0.000 6.129 0.000
0.000 0.000 5.676
As Be O Pm
2 2 2 2
Direct
0.000 0.270 0.430
0.000 0.730 0.930
0.500 0.894 0.049
0.500 0.106 0.549
0.500 0.900 0.353
0.500 0.100 0.853
0.000 0.752 0.421
0.000 0.248 0.921
```

=====

## Q
PmBeAsO: relaxed, PBE.

```
PmBeAsO
1.0
3.888 0.000 0.000
0.000 3.888 0.000
0.000 0.000 8.741
As Be O Pm
2 2 2 2
Direct
0.000 0.500 0.349
0.500 0.000 0.651
0.000 0.000 0.500
0.500 0.500 0.500
0.000 0.000 0.000
0.500 0.500 0.000
0.500 0.000 0.139
0.000 0.500 0.861
```

=====

Which structure wins on stability? Q wins.

=====

## P
BeTcAsO: relaxed, PBE.

```
BeTcAsO
1.0
3.531 0.000 0.000
0.000 3.531 0.000
0.000 0.000 9.564
As Be O Tc
2 2 2 2
Direct
0.750 0.750 0.307
0.250 0.250 0.693
0.750 0.750 0.007
0.250 0.250 0.993
0.750 0.250 0.000
0.250 0.750 0.000
0.750 0.250 0.500
0.250 0.750 0.500
```

=====

## Q
BeTcAsO: relaxed, PBE.

```
BeTcAsO
1.0
-0.771 2.848 -1.730
-3.130 -0.009 1.380
2.771 4.584 6.312
As Be O Tc
2 2 2 2
Direct
0.750 0.750 0.312
0.250 0.250 0.688
0.750 0.250 0.500
0.250 0.750 0.500
0.750 0.250 0.000
0.250 0.750 0.000
0.250 0.250 0.153
0.750 0.750 0.847
```

=====

Which structure wins on stability? P wins.

=====

## P
BeTcAsO: relaxed, PBE.

```
BeTcAsO
1.0
2.946 0.000 0.000
0.000 5.859 0.000
0.000 0.000 5.896
As Be O Tc
2 2 2 2
Direct
0.000 0.749 0.124
0.000 0.251 0.624
0.000 0.140 0.105
0.000 0.860 0.605
0.500 0.228 0.137
0.500 0.772 0.637
0.500 0.507 0.381
0.500 0.493 0.881
```

=====

## Q
BeTcAsO: relaxed, PBE.

```
BeTcAsO
1.0
4.212 0.000 0.000
0.000 5.262 0.000
0.000 0.000 4.795
As Be O Tc
2 2 2 2
Direct
0.000 0.338 0.392
0.000 0.662 0.892
0.500 0.875 0.072
0.500 0.125 0.572
0.500 0.879 0.393
0.500 0.121 0.893
0.000 0.810 0.396
0.000 0.190 0.896
```

=====

Which structure wins on stability? P wins.

=====

## P
TmBeAsO: relaxed, PBE.

```
TmBeAsO
1.0
-2.938 -2.860 0.500
0.900 -1.887 -5.508
3.761 -3.544 1.829
As Be O Tm
2 2 2 2
Direct
0.000 0.770 0.420
0.000 0.230 0.920
0.500 0.394 0.053
0.500 0.606 0.553
0.500 0.382 0.367
0.500 0.618 0.867
0.000 0.252 0.413
0.000 0.748 0.913
```

=====

## Q
TmBeAsO: relaxed, PBE.

```
TmBeAsO
1.0
3.873 0.000 0.000
0.000 3.873 0.000
0.000 0.000 9.516
As Be O Tm
2 2 2 2
Direct
0.750 0.750 0.293
0.250 0.250 0.707
0.750 0.750 0.007
0.250 0.250 0.993
0.750 0.250 0.000
0.250 0.750 0.000
0.750 0.250 0.500
0.250 0.750 0.500
```

=====

## R
TmBeAsO: relaxed, PBE.

```
TmBeAsO
1.0
3.771 0.000 0.000
0.000 3.771 0.000
0.000 0.000 8.508
As Be O Tm
2 2 2 2
Direct
0.750 0.750 0.340
0.250 0.250 0.660
0.750 0.250 0.500
0.250 0.750 0.500
0.750 0.250 0.000
0.250 0.750 0.000
0.250 0.250 0.131
0.750 0.750 0.869
```

=====

Which structure wins on stability? R wins.

=====

## P
BeReAsPb: relaxed, PBE.

```
BeReAsPb
1.0
1.044 -3.681 2.549
-2.302 -0.828 3.893
-2.925 -3.540 0.233
As Be Pb Re
1 1 1 1
Direct
0.250 0.250 0.250
0.750 0.750 0.750
0.500 0.500 0.500
0.000 0.000 0.000
```

=====

## Q
BeReAsPb: relaxed, PBE.

```
BeReAsPb
1.0
-1.369 -2.369 3.685
-4.285 0.477 1.573
-3.011 -3.432 -0.467
As Be Pb Re
1 1 1 1
Direct
0.000 0.000 0.000
0.750 0.750 0.750
0.500 0.500 0.500
0.250 0.250 0.250
```

=====

Which structure wins on stability? Q wins.

=====

## P
BeTcAsPb: relaxed, PBE.

```
BeTcAsPb
1.0
0.000 3.265 3.265
3.265 0.000 3.265
3.265 3.265 0.000
As Be Pb Tc
1 1 1 1
Direct
0.250 0.250 0.250
0.750 0.750 0.750
0.500 0.500 0.500
0.000 0.000 0.000
```

=====

## Q
BeTcAsPb: relaxed, PBE.

```
BeTcAsPb
1.0
0.000 3.242 3.242
3.242 0.000 3.242
3.242 3.242 0.000
As Be Pb Tc
1 1 1 1
Direct
0.000 0.000 0.000
0.750 0.750 0.750
0.500 0.500 0.500
0.250 0.250 0.250
```

=====

Which structure wins on stability? Q wins.

=====

## P
PuBeAs: relaxed, PBE.

```
PuBeAs
1.0
0.000 3.160 3.160
3.160 0.000 3.160
3.160 3.160 0.000
As Be Pu
1 1 1
Direct
0.000 0.000 0.000
0.250 0.250 0.250
0.750 0.750 0.750
```

=====

## Q
PuBeAs: relaxed, PBE.

```
PuBeAs
1.0
3.295 -2.626 0.436
-0.111 -3.072 2.914
-0.344 -4.047 -1.201
As Be Pu
1 1 1
Direct
0.250 0.250 0.250
0.000 0.000 0.000
0.750 0.750 0.750
```

=====

## R
PuBeAs: relaxed, PBE.

```
PuBeAs
1.0
0.000 3.110 3.110
3.110 0.000 3.110
3.110 3.110 0.000
As Be Pu
1 1 1
Direct
0.500 0.500 0.500
0.000 0.000 0.000
0.250 0.250 0.250
```

=====

Which structure wins on stability? Q wins.

=====

## P
BeAsW: relaxed, PBE.

```
BeAsW
1.0
1.728 2.190 2.797
-0.727 3.878 0.202
-2.149 1.454 2.979
As Be W
1 1 1
Direct
0.250 0.250 0.250
0.000 0.000 0.000
0.750 0.750 0.750
```

=====

## Q
BeAsW: relaxed, PBE.

```
BeAsW
1.0
0.000 2.909 2.909
2.909 0.000 2.909
2.909 2.909 0.000
As Be W
1 1 1
Direct
0.250 0.250 0.250
0.750 0.750 0.750
0.000 0.000 0.000
```

=====

Which structure wins on stability? Q wins.

=====

## P
ZrBeAs: relaxed, PBE.

```
ZrBeAs
1.0
-1.218 -1.024 3.798
-1.050 2.938 2.688
-3.941 0.474 1.097
As Be Zr
1 1 1
Direct
0.250 0.250 0.250
0.000 0.000 0.000
0.750 0.750 0.750
```

=====

## Q
ZrBeAs: relaxed, PBE.

```
ZrBeAs
1.0
0.000 3.096 3.096
3.096 0.000 3.096
3.096 3.096 0.000
As Be Zr
1 1 1
Direct
0.250 0.250 0.250
0.750 0.750 0.750
0.000 0.000 0.000
```

=====

Which structure wins on stability? P wins.

=====

## P
CuBiAsF: relaxed, PBE.

```
CuBiAsF
1.0
-4.250 -4.362 -1.678
4.692 -4.173 -1.034
-0.486 -2.397 7.463
As Bi Cu F
4 4 4 4
Direct
0.142 0.647 0.138
0.858 0.147 0.362
0.358 0.353 0.638
0.642 0.853 0.862
0.264 0.061 0.235
0.736 0.561 0.265
0.236 0.939 0.735
0.764 0.439 0.765
0.696 0.983 0.132
0.304 0.483 0.368
0.804 0.017 0.632
0.196 0.517 0.868
0.640 0.349 0.029
0.360 0.849 0.471
0.860 0.651 0.529
0.140 0.151 0.971
```

=====

## Q
CuBiAsF: relaxed, PBE.

```
CuBiAsF
1.0
2.052 1.185 10.245
-2.052 1.185 10.245
0.000 -2.370 10.245
As Bi Cu F
2 2 2 2
Direct
0.114 0.114 0.114
0.886 0.886 0.886
0.393 0.393 0.393
0.607 0.607 0.607
0.193 0.193 0.193
0.807 0.807 0.807
0.306 0.306 0.306
0.694 0.694 0.694
```

=====

## R
CuBiAsF: relaxed, PBE.

```
CuBiAsF
1.0
3.908 0.000 0.000
0.000 3.908 0.000
0.000 0.000 8.956
As Bi Cu F
2 2 2 2
Direct
0.000 0.500 0.318
0.500 0.000 0.682
0.500 0.000 0.187
0.000 0.500 0.813
0.000 0.000 0.500
0.500 0.500 0.500
0.000 0.000 0.000
0.500 0.500 0.000
```

=====

## S
CuBiAsF: relaxed, PBE.

```
CuBiAsF
1.0
-3.261 1.591 -0.188
-1.225 -2.200 2.619
3.008 7.031 7.314
As Bi Cu F
2 2 2 2
Direct
0.000 0.500 0.454
0.500 0.000 0.546
0.000 0.500 0.168
0.500 0.000 0.832
0.500 0.000 0.311
0.000 0.500 0.689
0.000 0.000 0.000
0.500 0.500 0.000
```

=====

Which structure wins on stability? Q wins.